Arrangement 1

16
Lattice="-2.765 5.359 -3.186 -2.068 -6.414 -1.048 -7.205 1.021 7.970" Properties=species:S:1:pos:R:3 comment="KSrMg14, optimized geometry, DFT PBE" m_tot_mub_per_atom=0.00 spacegroup="No. 38" dos_at_fermi_per_ev_fu=7.6 pbc="T T T"
K -6.252 3.910 1.155
Sr -5.903 -1.966 2.222
Mg -2.644 3.315 -2.815
Mg -2.295 -2.574 -1.745
Mg -4.858 1.215 2.760
Mg -1.266 0.726 -1.238
Mg -7.294 0.684 0.626
Mg -3.684 0.198 -3.355
Mg -2.798 -0.933 0.916
Mg -6.724 -0.377 5.259
Mg -5.207 -1.459 -1.195
Mg -9.133 -0.903 3.148
Mg -4.291 1.638 -0.516
Mg -7.973 2.160 3.557
Mg -3.942 -4.237 0.549
Mg -7.627 -3.715 4.626

=====

Arrangement 2

16
Lattice="3.392 -5.875 0.000 3.392 5.875 0.000 0.000 0.000 10.699" Properties=species:S:1:pos:R:3 comment="KSrMg14, optimized geometry, DFT PBE" m_tot_mub_per_atom=0.00 spacegroup="No. 187" dos_at_fermi_per_ev_fu=8.0 pbc="T T T"
K 0.000 0.000 0.000
Sr 0.000 0.000 5.350
Mg 1.727 2.920 0.000
Mg 1.751 2.906 5.350
Mg 5.058 2.920 0.000
Mg 5.034 2.906 5.350
Mg 3.392 0.035 0.000
Mg 3.392 0.063 5.350
Mg 3.392 3.795 2.679
Mg 3.392 3.795 8.020
Mg 1.801 1.040 2.679
Mg 1.801 1.040 8.020
Mg 4.983 1.040 2.679
Mg 4.983 1.040 8.020
Mg 3.392 -1.958 2.703
Mg 3.392 -1.958 7.997

=====

Name the most stable of them. arrangement 2.

=====

Arrangement 1

5
Lattice="4.313 0.000 0.000 0.000 4.313 0.000 2.157 2.157 12.811" Properties=species:S:1:pos:R:3 comment="KSr2Mg2, optimized geometry, DFT PBE" m_tot_mub_per_atom=0.00 spacegroup="No. 139" dos_at_fermi_per_ev_fu=5.3 pbc="T T T"
Sr 2.157 2.157 3.460
Sr 4.313 4.313 9.351
K 0.000 0.000 0.000
Mg 4.313 2.157 6.406
Mg 2.157 4.313 6.406

=====

Arrangement 2

10
Lattice="10.452 0.000 0.000 0.000 10.452 0.000 0.000 0.000 3.950" Properties=species:S:1:pos:R:3 comment="KSr2Mg2, optimized geometry, DFT PBE" m_tot_mub_per_atom=0.00 spacegroup="No. 127" dos_at_fermi_per_ev_fu=4.6 pbc="T T T"
Sr 3.836 9.062 0.000
Sr 9.062 6.616 0.000
Sr 6.616 1.390 0.000
Sr 1.390 3.836 0.000
K 0.000 0.000 0.000
K 5.226 5.226 0.000
Mg 1.659 6.885 1.975
Mg 6.885 8.793 1.975
Mg 8.793 3.567 1.975
Mg 3.567 1.659 1.975

=====

Name the most stable of them. arrangement 2.

=====

Arrangement 1

5
Lattice="4.698 0.000 0.000 0.000 4.698 0.000 0.000 0.000 4.698" Properties=species:S:1:pos:R:3 comment="KMgTa3, optimized geometry, DFT PBE" m_tot_mub_per_atom=0.00 spacegroup="No. 221" dos_at_fermi_per_ev_fu=6.9 pbc="T T T"
K 0.000 0.000 0.000
Mg 2.349 2.349 2.349
Ta 0.000 2.349 0.000
Ta 0.000 0.000 2.349
Ta 2.349 0.000 0.000

=====

Arrangement 2

5
Lattice="4.985 0.000 0.000 0.000 4.985 0.000 0.000 0.000 4.985" Properties=species:S:1:pos:R:3 comment="KMgTa3, optimized geometry, DFT PBE" m_tot_mub_per_atom=0.00 spacegroup="No. 221" dos_at_fermi_per_ev_fu=8.7 pbc="T T T"
K 2.492 2.492 2.492
Mg 0.000 0.000 0.000
Ta 0.000 2.492 0.000
Ta 0.000 0.000 2.492
Ta 2.492 0.000 0.000

=====

Name the most stable of them. arrangement 2.